[1]
This record from Alexandria describes a relaxed structure of CsInAu4. The functional is PBE.

abc: 5.8744 5.8744 5.8744
angles: 60.00 60.00 60.00
Fractional positions:
Cs 0.0000 0.0000 0.0000
In 0.7500 0.7500 0.7500
Au 0.3755 0.3755 0.3755
Au 0.3755 0.3755 0.8734
Au 0.3755 0.8734 0.3755
Au 0.8734 0.3755 0.3755

Its energy of formation is 19 meV per atom. For the density of states at the Fermi level, the calculation gives 1.327 states/eV/atom. The total DFT energy (no corrections) is -16.585 eV for the cell shown. Its distance to the lowest polymorph of the same formula is 180 meV/atom.



[2]
This record from Alexandria describes a relaxed structure of CsInAu. The functional is PBE.

abc: 4.8267 4.8267 5.8420
angles: 90.00 90.00 120.00
Fractional positions:
Cs 0.0000 0.0000 0.0000
In 0.6667 0.3333 0.5000
Au 0.3333 0.6667 0.5000

Its energy of formation is -202 meV per atom. For the density of states at the Fermi level, the calculation gives 0.750 states/eV/atom. The total DFT energy (no corrections) is -7.476 eV for the cell shown. Its distance to the lowest polymorph of the same formula is 67 meV/atom.



[3]
This record from Alexandria describes a relaxed structure of Cs2InAu. The functional is PBE.

abc: 9.9670 9.9670 9.9670
angles: 94.05 94.05 149.17
Fractional positions:
Cs 0.3750 0.0463 0.1713
Cs 0.7963 0.6250 0.6713
Cs 0.8750 0.2037 0.8287
Cs 0.9537 0.1250 0.3287
In 0.2500 0.7500 0.5000
In 0.5000 0.5000 0.0000
Au 0.0000 0.0000 0.0000
Au 0.7500 0.2500 0.5000

Its energy of formation is -130 meV per atom. For the density of states at the Fermi level, the calculation gives 1.087 states/eV/atom. The total DFT energy (no corrections) is -16.483 eV for the cell shown. Its distance to the lowest polymorph of the same formula is 45 meV/atom.



[4]
This record from Alexandria describes a relaxed structure of Cs2InAu3. The functional is PBE.

abc: 8.0281 8.0281 8.0281
angles: 143.68 132.38 61.33
Fractional positions:
Cs 0.1845 0.1845 0.0000
Cs 0.8155 0.8155 0.0000
In 0.5000 0.5000 0.0000
Au 0.0000 0.5000 0.5000
Au 0.3967 0.8967 0.5000
Au 0.6033 0.1033 0.5000

Its energy of formation is -166 meV per atom. For the density of states at the Fermi level, the calculation gives 0.336 states/eV/atom. The total DFT energy (no corrections) is -15.272 eV for the cell shown.



[5]
This record from Alexandria describes a relaxed structure of Cs3InAu4. The functional is PBE.

abc: 7.3308 7.3308 7.3308
angles: 122.02 105.31 101.87
Fractional positions:
Cs 0.0000 0.0000 0.0000
Cs 0.0638 0.3338 0.7300
Cs 0.6038 0.3338 0.2700
In 0.3960 0.8960 0.5000
Au 0.4678 0.7178 0.7500
Au 0.5879 0.3885 0.8006
Au 0.5879 0.7874 0.1994
Au 0.9677 0.7178 0.2500

Its energy of formation is -283 meV per atom. For the density of states at the Fermi level, the calculation gives 0.091 states/eV/atom. The total DFT energy (no corrections) is -20.670 eV for the cell shown.



[6]
This record from Alexandria describes a relaxed structure of Cs3In2Au. The functional is PBE.

abc: 8.7613 8.7613 9.0891
angles: 90.00 90.00 71.48
Fractional positions:
Cs 0.0094 0.6204 0.2500
Cs 0.2033 0.7967 0.7500
Cs 0.3796 0.9906 0.2500
Cs 0.6204 0.0094 0.7500
Cs 0.7967 0.2033 0.2500
Cs 0.9906 0.3796 0.7500
In 0.3850 0.3850 0.0000
In 0.3850 0.3850 0.5000
In 0.6150 0.6150 0.0000
In 0.6150 0.6150 0.5000
Au 0.4557 0.5443 0.2500
Au 0.5443 0.4557 0.7500

Its energy of formation is -136 meV per atom. For the density of states at the Fermi level, the calculation gives 0.638 states/eV/atom. The total DFT energy (no corrections) is -24.262 eV for the cell shown.



[7]
This record from Alexandria describes a relaxed structure of CsIn4Au9. The functional is PBE.

abc: 9.5872 9.5872 9.5872
angles: 119.27 119.27 91.27
Fractional positions:
Cs 0.2500 0.2500 0.0000
Cs 0.7500 0.7500 0.0000
In 0.0688 0.5688 0.8773
In 0.1915 0.0688 0.5000
In 0.3085 0.8085 0.8773
In 0.4312 0.3085 0.5000
In 0.5688 0.6915 0.5000
In 0.6915 0.1915 0.1227
In 0.8085 0.9312 0.5000
In 0.9312 0.4312 0.1227
Au 0.0000 0.5000 0.5000
Au 0.0425 0.2025 0.2450
Au 0.0652 0.8003 0.5000
Au 0.1997 0.6997 0.2649
Au 0.2025 0.9575 0.1600
Au 0.2975 0.4575 0.7550
Au 0.3003 0.5652 0.5000
Au 0.4348 0.9348 0.7351
Au 0.4575 0.7025 0.1600
Au 0.5000 0.0000 0.5000
Au 0.5425 0.2975 0.8400
Au 0.5652 0.0652 0.2649
Au 0.6997 0.4348 0.5000
Au 0.7025 0.5425 0.2450
Au 0.7975 0.0425 0.8400
Au 0.8003 0.3003 0.7351
Au 0.9348 0.1997 0.5000
Au 0.9575 0.7975 0.7550

Its energy of formation is -191 meV per atom. For the density of states at the Fermi level, the calculation gives 0.348 states/eV/atom. The total DFT energy (no corrections) is -87.946 eV for the cell shown.



[8]
This record from Alexandria describes a relaxed structure of CsIn3Au3. The functional is PBE.

abc: 7.7751 7.7751 7.7751
angles: 90.00 90.00 90.00
Fractional positions:
Cs 0.0000 0.0000 0.0000
Cs 0.5000 0.5000 0.5000
In 0.0000 0.2500 0.5000
In 0.0000 0.7500 0.5000
In 0.2500 0.5000 0.0000
In 0.5000 0.0000 0.2500
In 0.5000 0.0000 0.7500
In 0.7500 0.5000 0.0000
Au 0.0000 0.5000 0.2500
Au 0.0000 0.5000 0.7500
Au 0.2500 0.0000 0.5000
Au 0.5000 0.2500 0.0000
Au 0.5000 0.7500 0.0000
Au 0.7500 0.0000 0.5000

Its energy of formation is -179 meV per atom. For the density of states at the Fermi level, the calculation gives 0.587 states/eV/atom. The total DFT energy (no corrections) is -40.301 eV for the cell shown. Its distance to the lowest polymorph of the same formula is 23 meV/atom.



[9]
This record from Alexandria describes a relaxed structure of Cs3In5Au2. The functional is PBE.

abc: 10.4723 10.4723 10.4723
angles: 108.80 86.08 138.26
Fractional positions:
Cs 0.1294 0.2487 0.3781
Cs 0.2500 0.2500 0.0000
Cs 0.3706 0.7487 0.1193
Cs 0.6294 0.2513 0.8807
Cs 0.7500 0.7500 0.0000
Cs 0.8706 0.7513 0.6219
In 0.0113 0.7500 0.2613
In 0.1168 0.6393 0.7561
In 0.2500 0.7500 0.5000
In 0.3832 0.1393 0.5225
In 0.4887 0.7500 0.7387
In 0.5113 0.2500 0.2613
In 0.6168 0.8607 0.4775
In 0.7500 0.2500 0.5000
In 0.8832 0.3607 0.2439
In 0.9887 0.2500 0.7387
Au 0.1639 0.8630 0.0269
Au 0.3361 0.3630 0.6992
Au 0.6639 0.6370 0.3008
Au 0.8361 0.1370 0.9731

Its energy of formation is -190 meV per atom. For the density of states at the Fermi level, the calculation gives 0.372 states/eV/atom. The total DFT energy (no corrections) is -49.412 eV for the cell shown.



[10]
This record from Alexandria describes a relaxed structure of CsIn2Au4. The functional is PBE.

abc: 9.4737 9.4737 3.8935
angles: 90.00 90.00 90.00
Fractional positions:
Cs 0.0000 0.0000 0.0000
Cs 0.5000 0.5000 0.5000
In 0.2375 0.2375 0.5000
In 0.2625 0.7375 0.0000
In 0.7375 0.2625 0.0000
In 0.7625 0.7625 0.5000
Au 0.0549 0.6593 0.5000
Au 0.1593 0.4451 0.0000
Au 0.3407 0.9451 0.5000
Au 0.4451 0.1593 0.0000
Au 0.5549 0.8407 0.0000
Au 0.6593 0.0549 0.5000
Au 0.8407 0.5549 0.0000
Au 0.9451 0.3407 0.5000

Its energy of formation is -136 meV per atom. For the density of states at the Fermi level, the calculation gives 0.339 states/eV/atom. The total DFT energy (no corrections) is -40.789 eV for the cell shown. Its distance to the lowest polymorph of the same formula is 93 meV/atom.



[11]
This record from Alexandria describes a relaxed structure of CsKIn2Au. The functional is PBE.

abc: 5.5617 5.5617 6.3411
angles: 90.00 90.00 90.00
Fractional positions:
Cs 0.0000 0.0000 0.0000
K 0.5000 0.5000 0.0000
In 0.0000 0.5000 0.5000
In 0.5000 0.0000 0.5000
Au 0.5000 0.5000 0.5000

Its energy of formation is -81 meV per atom. For the density of states at the Fermi level, the calculation gives 0.636 states/eV/atom. The total DFT energy (no corrections) is -11.110 eV for the cell shown.



[12]
This record from Alexandria describes a relaxed structure of CsLiIn2Au. The functional is PBE.

abc: 5.4770 5.4770 5.5461
angles: 90.00 90.00 90.00
Fractional positions:
Cs 0.0000 0.0000 0.0000
Li 0.5000 0.5000 0.0000
In 0.0000 0.5000 0.5000
In 0.5000 0.0000 0.5000
Au 0.5000 0.5000 0.5000

Its energy of formation is -100 meV per atom. For the density of states at the Fermi level, the calculation gives 0.534 states/eV/atom. The total DFT energy (no corrections) is -12.021 eV for the cell shown.



[13]
This record from Alexandria describes a relaxed structure of CsLi2InAu. The functional is PBE.

abc: 5.4763 5.4763 5.2666
angles: 90.00 90.00 90.00
Fractional positions:
Cs 0.0000 0.0000 0.0000
Li 0.0000 0.5000 0.5000
Li 0.5000 0.0000 0.5000
In 0.5000 0.5000 0.0000
Au 0.5000 0.5000 0.5000

Its energy of formation is -137 meV per atom. For the density of states at the Fermi level, the calculation gives 0.649 states/eV/atom. The total DFT energy (no corrections) is -11.381 eV for the cell shown.



[14]
This record from Alexandria describes a relaxed structure of Cs2NaInAu. The functional is PBE.

abc: 7.0368 7.0368 5.3719
angles: 90.00 90.00 90.00
Fractional positions:
Cs 0.0000 0.5000 0.0000
Cs 0.5000 0.0000 0.0000
Na 0.0000 0.0000 0.5000
In 0.5000 0.5000 0.5000
Au 0.5000 0.5000 0.0000

Its energy of formation is -70 meV per atom. For the density of states at the Fermi level, the calculation gives 0.655 states/eV/atom. The total DFT energy (no corrections) is -9.390 eV for the cell shown.



[15]
This record from Alexandria describes a relaxed structure of CsNaIn2Au. The functional is PBE.

abc: 5.4811 5.4811 5.9204
angles: 90.00 90.00 90.00
Fractional positions:
Cs 0.0000 0.0000 0.0000
Na 0.5000 0.5000 0.0000
In 0.0000 0.5000 0.5000
In 0.5000 0.0000 0.5000
Au 0.5000 0.5000 0.5000

Its energy of formation is -109 meV per atom. For the density of states at the Fermi level, the calculation gives 0.546 states/eV/atom. The total DFT energy (no corrections) is -11.472 eV for the cell shown.



[16]
This record from Alexandria describes a relaxed structure of CsIn2NiAu. The functional is PBE.

abc: 5.0323 5.0323 5.4566
angles: 90.00 90.00 90.00
Fractional positions:
Cs 0.0000 0.0000 0.0000
In 0.0000 0.5000 0.5000
In 0.5000 0.0000 0.5000
Ni 0.5000 0.5000 0.5000
Au 0.5000 0.5000 0.0000

Its energy of formation is -40 meV per atom. For the density of states at the Fermi level, the calculation gives 0.331 states/eV/atom. The total DFT energy (no corrections) is -15.591 eV for the cell shown.



[17]
This record from Alexandria describes a relaxed structure of CsIn4PbAu2. The functional is PBE.

abc: 5.2105 5.2105 9.8492
angles: 90.00 90.00 90.00
Fractional positions:
Cs 0.0000 0.0000 0.0000
In 0.0000 0.5000 0.3136
In 0.0000 0.5000 0.6864
In 0.5000 0.0000 0.3136
In 0.5000 0.0000 0.6864
Pb 0.0000 0.0000 0.5000
Au 0.5000 0.5000 0.2133
Au 0.5000 0.5000 0.7867

Its energy of formation is -112 meV per atom. For the density of states at the Fermi level, the calculation gives 0.602 states/eV/atom. The total DFT energy (no corrections) is -22.963 eV for the cell shown.



[18]
This record from Alexandria describes a relaxed structure of Cs2In2PbAu. The functional is PBE.

abc: 10.3684 10.3684 10.3684
angles: 138.02 60.09 139.04
Fractional positions:
Cs 0.1694 0.2290 0.3984
Cs 0.3306 0.7290 0.0596
Cs 0.6694 0.2710 0.9404
Cs 0.8306 0.7710 0.6016
In 0.0855 0.7093 0.7947
In 0.4145 0.2093 0.6238
In 0.5855 0.7907 0.3762
In 0.9145 0.2907 0.2053
Pb 0.2500 0.2500 0.0000
Pb 0.7500 0.7500 0.0000
Au 0.2500 0.7500 0.5000
Au 0.7500 0.2500 0.5000

Its energy of formation is -184 meV per atom. For the density of states at the Fermi level, the calculation gives 0.310 states/eV/atom. The total DFT energy (no corrections) is -30.547 eV for the cell shown.



[19]
This record from Alexandria describes a relaxed structure of CsRbInAu3. The functional is PBE.

abc: 9.6028 9.6028 6.8465
angles: 100.02 100.02 135.36
Fractional positions:
Cs 0.2273 0.7727 0.7500
Cs 0.7727 0.2273 0.2500
Rb 0.3941 0.6059 0.2500
Rb 0.6059 0.3941 0.7500
In 0.0012 0.9988 0.7500
In 0.9988 0.0012 0.2500
Au 0.1623 0.8377 0.2500
Au 0.2104 0.3636 0.6387
Au 0.3636 0.2104 0.1387
Au 0.6364 0.7896 0.8613
Au 0.7896 0.6364 0.3613
Au 0.8377 0.1623 0.7500

Its energy of formation is -249 meV per atom. For the density of states at the Fermi level, the calculation gives 0.407 states/eV/atom. The total DFT energy (no corrections) is -31.777 eV for the cell shown.



[20]
This record from Alexandria describes a relaxed structure of Cs2InRuAu. The functional is PBE.

abc: 7.1487 7.1487 5.1056
angles: 90.00 90.00 90.00
Fractional positions:
Cs 0.0000 0.5000 0.0000
Cs 0.5000 0.0000 0.0000
In 0.0000 0.0000 0.0000
Ru 0.0000 0.0000 0.5000
Au 0.5000 0.5000 0.5000

Its energy of formation is 739 meV per atom. For the density of states at the Fermi level, the calculation gives 1.029 states/eV/atom. The total DFT energy (no corrections) is -13.305 eV for the cell shown.



[21]
This record from Alexandria describes a relaxed structure of Cs2InSb2Au6. The functional is PBE.

abc: 7.3656 7.3656 9.1486
angles: 113.97 113.97 59.96
Fractional positions:
Cs 0.2435 0.2435 0.2276
Cs 0.7565 0.7565 0.7724
In 0.5000 0.5000 0.0000
Sb 0.0579 0.0579 0.6766
Sb 0.9421 0.9421 0.3234
Au 0.2735 0.6511 0.7023
Au 0.2740 0.2740 0.7017
Au 0.3489 0.7265 0.2977
Au 0.6511 0.2735 0.7023
Au 0.7260 0.7260 0.2983
Au 0.7265 0.3489 0.2977

The uncorrected formation energy is -0.223 eV per atom. For the density of states at the Fermi level, the calculation gives 0.362 states/eV/atom. The total DFT energy (no corrections) is -34.806 eV for the cell shown.



[22]
This record from Alexandria describes a relaxed structure of CsIn2Sb2Au. The functional is PBE.

abc: 5.7668 15.8605 5.0809
angles: 90.00 90.00 90.00
Fractional positions:
Cs 0.0000 0.0000 0.0000
Cs 0.5000 0.5000 0.5000
In 0.0150 0.2307 0.5000
In 0.4850 0.7307 0.0000
In 0.5150 0.2693 0.0000
In 0.9850 0.7693 0.5000
Sb 0.0144 0.3343 0.0000
Sb 0.4856 0.8343 0.5000
Sb 0.5144 0.1657 0.5000
Sb 0.9856 0.6657 0.0000
Au 0.0000 0.5000 0.0000
Au 0.5000 0.0000 0.5000

The uncorrected formation energy is -0.239 eV per atom. For the density of states at the Fermi level, the calculation gives 0.193 states/eV/atom. The total DFT energy (no corrections) is -38.570 eV for the cell shown.



[23]
This record from Alexandria describes a relaxed structure of CsInSbAu. The functional is PBE.

abc: 8.0428 8.0428 8.0428
angles: 34.15 34.15 34.15
Fractional positions:
Cs 0.0000 0.0000 0.0000
In 0.2067 0.2067 0.2067
Sb 0.4549 0.4549 0.4549
Au 0.8144 0.8144 0.8144

The uncorrected formation energy is -0.308 eV per atom. For the density of states at the Fermi level, the calculation gives 0.138 states/eV/atom. The total DFT energy (no corrections) is -12.222 eV for the cell shown.